# NbMoPd6 GGA-PBE relaxed
data_NbMoPd6
_chemical_formula_sum 'Nb1 Mo1 Pd6'
_cell_length_a 4.5622
_cell_length_b 5.4698
_cell_length_c 4.8528
_cell_angle_alpha 90.00
_cell_angle_beta 90.00
_cell_angle_gamma 90.00
_space_group_name_H-M_alt 'P m m 2'
_space_group_IT_number 25
_space_group_name_Hall 'P 2 -2'
loop_
_atom_site_label
_atom_site_fract_x
_atom_site_fract_y
_atom_site_fract_z
Nb1 0.0000 0.0000 0.0000
Mo1 0.5000 0.5000 0.3174
Pd1 0.0000 0.2522 0.4956
Pd2 0.0000 0.5000 0.0045
Pd3 0.5000 0.0000 0.3208
Pd4 0.5000 0.2524 0.8221
# * DFT formation energy: -0.2495 eV per atom
# * total magnetic moment: 0.01 μB/cell
# * calculated volume: 121.10 Å³/cell